[1]
A relaxed structure of LaMoRu. Source: Alexandria via LeMat-Bulk, functional PBEsol.

The formation energy is 34.7 kJ per mole of atoms.

Cell lengths 3.0846, 3.8364, 10.7240 Å; angles 90.00, 90.00, 90.00 degrees
Space group Imm2 (No. 44)
Asymmetric unit:
La1 0.0000 0.0000 0.0000
Mo1 0.0000 0.0000 0.7296
Ru1 0.0000 0.0000 0.2752



[2]
A relaxed structure of AsPb3. Source: Alexandria via LeMat-Bulk, functional PBEsol.

For the energy above the most stable polymorph in this dataset, the calculation gives 4 meV/atom. The formation energy is 4.6 kJ per mole of atoms.

Cell lengths 7.0707, 9.3930, 6.7569 Å; angles 90.00, 90.00, 90.00 degrees
Space group Pnma (No. 62)
Asymmetric unit:
As1 0.1063 0.2500 0.0822
Pb1 0.0066 0.7500 0.3427
Pb2 0.2178 0.5509 0.8678



[3]
A relaxed structure of SiNiP2S. Source: Alexandria via LeMat-Bulk, functional PBEsol.

The uncorrected formation energy is 0.632 eV per atom.

Cell lengths 4.2323, 4.2323, 4.6699 Å; angles 90.00, 90.00, 90.00 degrees
Space group P4/mmm (No. 123)
Asymmetric unit:
Si1 0.0000 0.0000 0.0000
Ni1 0.5000 0.5000 0.5000
P1 0.0000 0.5000 0.5000
S1 0.5000 0.5000 0.0000



[4]
A relaxed structure of HgPPb2. Source: Alexandria via LeMat-Bulk, functional PBEsol.

For the energy above the most stable polymorph in this dataset, the calculation gives 86 meV/atom. The formation energy is 13.4 kJ per mole of atoms.

Cell lengths 3.9093, 3.9093, 23.2279 Å; angles 90.00, 90.00, 120.00 degrees
Space group R3m (No. 160, hexagonal axes)
Asymmetric unit:
Hg1 0.0000 0.0000 0.0000
P1 0.0000 0.0000 0.2674
Pb1 0.0000 0.0000 0.5321
Pb2 0.0000 0.0000 0.7560



[5]
A relaxed structure of KYAu2. Source: Alexandria via LeMat-Bulk, functional PBEsol.

For the energy above the most stable polymorph in this dataset, the calculation gives 166 meV/atom. The formation energy is -35.3 kJ per mole of atoms.

Cell lengths 5.2857, 5.2857, 3.3691 Å; angles 90.00, 90.00, 90.00 degrees
Space group P4/mmm (No. 123)
Asymmetric unit:
K1 0.0000 0.0000 0.0000
Y1 0.5000 0.5000 0.0000
Au1 0.0000 0.5000 0.5000



[6]
A relaxed structure of MgZnCd2. Source: Alexandria via LeMat-Bulk, functional PBEsol.

For the energy above the most stable polymorph in this dataset, the calculation gives 39 meV/atom. The formation energy is 1.0 kJ per mole of atoms.

Cell lengths 3.1199, 3.1199, 27.8460 Å; angles 90.00, 90.00, 120.00 degrees
Space group R3m (No. 160, hexagonal axes)
Asymmetric unit:
Mg1 0.0000 0.0000 0.0000
Zn1 0.0000 0.0000 0.7449
Cd1 0.0000 0.0000 0.2460
Cd2 0.0000 0.0000 0.4904



[7]
A relaxed structure of Sc2ZnPbAu. Source: Alexandria via LeMat-Bulk, functional PBEsol.

The formation energy is 31.1 kJ per mole of atoms.

Cell lengths 4.9904, 4.9904, 4.8502 Å; angles 90.00, 90.00, 90.00 degrees
Space group P4/mmm (No. 123)
Asymmetric unit:
Sc1 0.0000 0.5000 0.0000
Zn1 0.0000 0.0000 0.0000
Pb1 0.0000 0.0000 0.5000
Au1 0.5000 0.5000 0.5000



[8]
A relaxed structure of BaOsBr2. Source: Alexandria via LeMat-Bulk, functional PBEsol.

The uncorrected formation energy is -0.030 eV per atom. For the energy above the most stable polymorph in this dataset, the calculation gives 0 meV/atom.

Cell lengths 5.7236, 5.7236, 11.3399 Å; angles 90.00, 90.00, 120.00 degrees
Space group R-3m (No. 166, hexagonal axes)
Asymmetric unit:
Ba1 0.0000 0.0000 0.0000
Os1 0.0000 0.0000 0.5000
Br1 0.0000 0.0000 0.2870



[9]
A relaxed structure of SrNbO2. Source: Alexandria via LeMat-Bulk, functional PBEsol.

The uncorrected formation energy is -1.803 eV per atom.

Cell lengths 4.9035, 4.9035, 11.5750 Å; angles 90.00, 90.00, 90.00 degrees
Space group I-42d (No. 122)
Asymmetric unit:
Sr1 0.0000 0.0000 0.0000
Nb1 0.0000 0.0000 0.5000
O1 0.1422 0.2500 0.6250



[10]
A relaxed structure of BaIn4. Source: Alexandria via LeMat-Bulk, functional PBEsol.

The formation energy is -38.2 kJ per mole of atoms.

Cell lengths 4.9313, 4.9313, 11.9706 Å; angles 90.00, 90.00, 90.00 degrees
Space group I4/mmm (No. 139)
Asymmetric unit:
Ba1 0.0000 0.0000 0.0000
In1 0.0000 0.0000 0.3834
In2 0.0000 0.5000 0.2500



[11]
A relaxed structure of KSi4Au. Source: Alexandria via LeMat-Bulk, functional PBEsol.

The uncorrected formation energy is 0.427 eV per atom.

Cell lengths 7.5331, 7.5331, 7.5331 Å; angles 90.00, 90.00, 90.00 degrees
Space group F-43m (No. 216)
Asymmetric unit:
K1 0.0000 0.0000 0.0000
Si1 0.1238 0.1238 0.3762
Au1 0.2500 0.2500 0.7500



[12]
A relaxed structure of Cr2HgOs. Source: Alexandria via LeMat-Bulk, functional PBEsol.

The formation energy is 51.8 kJ per mole of atoms.

Cell lengths 2.8781, 4.4548, 8.8192 Å; angles 90.00, 90.00, 90.00 degrees
Space group Imm2 (No. 44)
Asymmetric unit:
Cr1 0.0000 0.0000 0.0000
Cr2 0.0000 0.5000 0.2925
Hg1 0.0000 0.5000 0.7713
Os1 0.0000 0.0000 0.5561



Please write out number 10 again, unchanged.
A relaxed structure of BaIn4. Source: Alexandria via LeMat-Bulk, functional PBEsol.

The formation energy is -38.2 kJ per mole of atoms.

Cell lengths 4.9313, 4.9313, 11.9706 Å; angles 90.00, 90.00, 90.00 degrees
Space group I4/mmm (No. 139)
Asymmetric unit:
Ba1 0.0000 0.0000 0.0000
In1 0.0000 0.0000 0.3834
In2 0.0000 0.5000 0.2500